Compound: LiH2Pd
Source: Alexandria via LeMat-Bulk
Functional: PBE-GGA
Structure: optimized geometry

Output
DOS(E_F) = 0.196 states/eV per atom
Calculated total energy = -13.7 eV per cell

a = 3.569 Å, b = 3.569 Å, c = 3.569 Å
α = 60.00°, β = 60.00°, γ = 60.00°
Element x y z (fractional)
Li  0.000  0.000  0.000
H  0.250  0.250  0.250
H  0.750  0.750  0.750
Pd  0.500  0.500  0.500